# Rb3MnO3, optimized geometry, DFT GGA-PBEsol
# Raw formation energy ... -1.409 eV/atom
# E ... -5.49 eV/atom
data_Rb3MnO3
_chemical_formula_sum 'Rb12 Mn4 O12'
_symmetry_space_group_name_H-M 'P 1'
_symmetry_Int_Tables_number 1
_symmetry_space_group_name_Hall 'P 1'
_cell_length_a 6.8232
_cell_length_b 11.8020
_cell_length_c 6.9780
_cell_angle_alpha 90.00
_cell_angle_beta 98.18
_cell_angle_gamma 90.00
loop_
_atom_site_label
_atom_site_fract_x
_atom_site_fract_y
_atom_site_fract_z
_atom_site_occupancy
Rb1 0.0105 0.2250 0.0781 1
Rb2 0.0105 0.2750 0.5781 1
Rb3 0.3405 0.5102 0.6442 1
Rb4 0.3405 0.9898 0.1442 1
Rb5 0.4725 0.2091 0.4944 1
Rb6 0.4725 0.2909 0.9944 1
Rb7 0.5275 0.7091 0.0056 1
Rb8 0.5275 0.7909 0.5056 1
Rb9 0.6595 0.0102 0.8558 1
Rb10 0.6595 0.4898 0.3558 1
Rb11 0.9895 0.7250 0.4219 1
Rb12 0.9895 0.7750 0.9219 1
Mn1 0.1590 0.5027 0.1568 1
Mn2 0.1590 0.9973 0.6568 1
Mn3 0.8410 0.0027 0.3432 1
Mn4 0.8410 0.4973 0.8432 1
O1 0.0971 0.0743 0.4104 1
O2 0.0971 0.4257 0.9104 1
O3 0.2750 0.1168 0.7989 1
O4 0.2750 0.3832 0.2989 1
O5 0.3006 0.6222 0.2761 1
O6 0.3006 0.8778 0.7761 1
O7 0.6994 0.1222 0.2239 1
O8 0.6994 0.3778 0.7239 1
O9 0.7250 0.6168 0.7011 1
O10 0.7250 0.8832 0.2011 1
O11 0.9029 0.5743 0.0896 1
O12 0.9029 0.9257 0.5896 1

=====

# RbMn4O8, optimized geometry, DFT GGA-PBEsol
# Raw formation energy ... -1.732 eV/atom
# E ... -8.04 eV/atom
data_RbMn4O8
_chemical_formula_sum 'Rb1 Mn4 O8'
_symmetry_space_group_name_H-M 'P 1'
_symmetry_Int_Tables_number 1
_symmetry_space_group_name_Hall 'P 1'
_cell_length_a 7.0174
_cell_length_b 7.0174
_cell_length_c 9.7061
_cell_angle_alpha 133.57
_cell_angle_beta 133.57
_cell_angle_gamma 23.62
loop_
_atom_site_label
_atom_site_fract_x
_atom_site_fract_y
_atom_site_fract_z
_atom_site_occupancy
Rb1 0.0000 0.0000 0.0000 1
Mn1 0.1508 0.1508 0.4842 1
Mn2 0.3341 0.3341 0.1823 1
Mn3 0.6659 0.6659 0.8177 1
Mn4 0.8492 0.8492 0.5158 1
O1 0.0414 0.0414 0.7113 1
O2 0.2977 0.2977 0.9516 1
O3 0.3343 0.3343 0.3756 1
O4 0.3447 0.3447 0.6439 1
O5 0.6553 0.6553 0.3561 1
O6 0.6657 0.6657 0.6244 1
O7 0.7023 0.7023 0.0484 1
O8 0.9586 0.9586 0.2887 1

=====

# Rb3MnO, optimized geometry, DFT GGA-PBEsol
# Raw formation energy ... 0.990 eV/atom
# E ... -2.63 eV/atom
data_Rb3MnO
_chemical_formula_sum 'Rb3 Mn1 O1'
_symmetry_space_group_name_H-M 'P 1'
_symmetry_Int_Tables_number 1
_symmetry_space_group_name_Hall 'P 1'
_cell_length_a 6.1716
_cell_length_b 6.1716
_cell_length_c 6.1716
_cell_angle_alpha 90.00
_cell_angle_beta 90.00
_cell_angle_gamma 90.00
loop_
_atom_site_label
_atom_site_fract_x
_atom_site_fract_y
_atom_site_fract_z
_atom_site_occupancy
Rb1 0.0000 0.0000 0.5000 1
Rb2 0.0000 0.5000 0.0000 1
Rb3 0.5000 0.0000 0.0000 1
Mn1 0.0000 0.0000 0.0000 1
O1 0.5000 0.5000 0.5000 1

=====

# RbMn3O, optimized geometry, DFT GGA-PBEsol
# Raw formation energy ... 0.736 eV/atom
# E ... -6.38 eV/atom
data_RbMn3O
_chemical_formula_sum 'Rb1 Mn3 O1'
_symmetry_space_group_name_H-M 'P 1'
_symmetry_Int_Tables_number 1
_symmetry_space_group_name_Hall 'P 1'
_cell_length_a 4.3833
_cell_length_b 4.3833
_cell_length_c 4.3833
_cell_angle_alpha 90.00
_cell_angle_beta 90.00
_cell_angle_gamma 90.00
loop_
_atom_site_label
_atom_site_fract_x
_atom_site_fract_y
_atom_site_fract_z
_atom_site_occupancy
Rb1 0.0000 0.0000 0.0000 1
Mn1 0.0000 0.5000 0.5000 1
Mn2 0.5000 0.0000 0.5000 1
Mn3 0.5000 0.5000 0.0000 1
O1 0.5000 0.5000 0.5000 1

=====

# Mn3ReO6, optimized geometry, DFT GGA-PBEsol
# Raw formation energy ... -1.374 eV/atom
# E ... -8.79 eV/atom
data_Mn3ReO6
_chemical_formula_sum 'Mn6 Re2 O12'
_symmetry_space_group_name_H-M 'P 1'
_symmetry_Int_Tables_number 1
_symmetry_space_group_name_Hall 'P 1'
_cell_length_a 5.1035
_cell_length_b 5.2357
_cell_length_c 8.9852
_cell_angle_alpha 90.00
_cell_angle_beta 124.25
_cell_angle_gamma 90.00
loop_
_atom_site_label
_atom_site_fract_x
_atom_site_fract_y
_atom_site_fract_z
_atom_site_occupancy
Mn1 0.0000 0.0000 0.0000 1
Mn2 0.0000 0.5000 0.5000 1
Mn3 0.2643 0.0511 0.7551 1
Mn4 0.2643 0.4489 0.2551 1
Mn5 0.7357 0.5511 0.7449 1
Mn6 0.7357 0.9489 0.2449 1
Re1 0.5000 0.0000 0.5000 1
Re2 0.5000 0.5000 0.0000 1
O1 0.1224 0.0604 0.2475 1
O2 0.1224 0.4396 0.7475 1
O3 0.2408 0.6916 0.0658 1
O4 0.2408 0.8084 0.5658 1
O5 0.3745 0.1818 0.0614 1
O6 0.3745 0.3182 0.5614 1
O7 0.6255 0.6818 0.4386 1
O8 0.6255 0.8182 0.9386 1
O9 0.7592 0.1916 0.4342 1
O10 0.7592 0.3084 0.9342 1
O11 0.8776 0.5604 0.2525 1
O12 0.8776 0.9396 0.7525 1

=====

# MnReO4, optimized geometry, DFT GGA-PBEsol
# Raw formation energy ... -1.582 eV/atom
# E ... -8.93 eV/atom
data_MnReO4
_chemical_formula_sum 'Mn2 Re2 O8'
_symmetry_space_group_name_H-M 'P 1'
_symmetry_Int_Tables_number 1
_symmetry_space_group_name_Hall 'P 1'
_cell_length_a 4.5194
_cell_length_b 5.4486
_cell_length_c 4.6992
_cell_angle_alpha 90.00
_cell_angle_beta 91.28
_cell_angle_gamma 90.00
loop_
_atom_site_label
_atom_site_fract_x
_atom_site_fract_y
_atom_site_fract_z
_atom_site_occupancy
Mn1 0.0000 0.1222 0.2500 1
Mn2 0.0000 0.8778 0.7500 1
Re1 0.5000 0.3786 0.7500 1
Re2 0.5000 0.6214 0.2500 1
O1 0.2370 0.1284 0.5840 1
O2 0.2370 0.8716 0.0840 1
O3 0.2412 0.3610 0.0922 1
O4 0.2412 0.6390 0.5922 1
O5 0.7588 0.3610 0.4078 1
O6 0.7588 0.6390 0.9078 1
O7 0.7630 0.1284 0.9160 1
O8 0.7630 0.8716 0.4160 1

=====

# MnReO2, optimized geometry, DFT GGA-PBEsol
# Raw formation energy ... 0.008 eV/atom
# E ... -8.39 eV/atom
data_MnReO2
_chemical_formula_sum 'Mn1 Re1 O2'
_symmetry_space_group_name_H-M 'P 1'
_symmetry_Int_Tables_number 1
_symmetry_space_group_name_Hall 'P 1'
_cell_length_a 3.8015
_cell_length_b 3.8015
_cell_length_c 3.8015
_cell_angle_alpha 60.00
_cell_angle_beta 60.00
_cell_angle_gamma 60.00
loop_
_atom_site_label
_atom_site_fract_x
_atom_site_fract_y
_atom_site_fract_z
_atom_site_occupancy
Mn1 0.0000 0.0000 0.0000 1
Re1 0.5000 0.5000 0.5000 1
O1 0.2500 0.2500 0.2500 1
O2 0.7500 0.7500 0.7500 1

=====

# MnRe2O8, optimized geometry, DFT GGA-PBEsol
# Raw formation energy ... -1.517 eV/atom
# E ... -8.65 eV/atom
data_MnRe2O8
_chemical_formula_sum 'Mn1 Re2 O8'
_symmetry_space_group_name_H-M 'P 1'
_symmetry_Int_Tables_number 1
_symmetry_space_group_name_Hall 'P 1'
_cell_length_a 5.7791
_cell_length_b 5.7791
_cell_length_c 6.4386
_cell_angle_alpha 90.00
_cell_angle_beta 90.00
_cell_angle_gamma 120.00
loop_
_atom_site_label
_atom_site_fract_x
_atom_site_fract_y
_atom_site_fract_z
_atom_site_occupancy
Mn1 0.0000 0.0000 0.0000 1
Re1 0.3333 0.6667 0.2782 1
Re2 0.6667 0.3333 0.7218 1
O1 0.1683 0.3366 0.1871 1
O2 0.1683 0.8317 0.1871 1
O3 0.3333 0.6667 0.5465 1
O4 0.3366 0.1683 0.8129 1
O5 0.6634 0.8317 0.1871 1
O6 0.6667 0.3333 0.4535 1
O7 0.8317 0.1683 0.8129 1
O8 0.8317 0.6634 0.8129 1

=====

# Mn2RuRhO, optimized geometry, DFT GGA-PBEsol
# Raw formation energy ... 1.719 eV/atom
# E ... -6.90 eV/atom
data_Mn2RuRhO
_chemical_formula_sum 'Mn2 Ru1 Rh1 O1'
_symmetry_space_group_name_H-M 'P 1'
_symmetry_Int_Tables_number 1
_symmetry_space_group_name_Hall 'P 1'
_cell_length_a 4.6871
_cell_length_b 4.6871
_cell_length_c 4.4585
_cell_angle_alpha 90.00
_cell_angle_beta 90.00
_cell_angle_gamma 90.00
loop_
_atom_site_label
_atom_site_fract_x
_atom_site_fract_y
_atom_site_fract_z
_atom_site_occupancy
Mn1 0.0000 0.5000 0.0000 1
Mn2 0.5000 0.0000 0.0000 1
Ru1 0.0000 0.0000 0.0000 1
Rh1 0.0000 0.0000 0.5000 1
O1 0.5000 0.5000 0.5000 1

=====

# MnRuO3, optimized geometry, DFT GGA-PBEsol
# Raw formation energy ... -0.384 eV/atom
# E ... -7.52 eV/atom
data_MnRuO3
_chemical_formula_sum 'Mn1 Ru1 O3'
_symmetry_space_group_name_H-M 'P 1'
_symmetry_Int_Tables_number 1
_symmetry_space_group_name_Hall 'P 1'
_cell_length_a 3.7134
_cell_length_b 3.7134
_cell_length_c 3.7134
_cell_angle_alpha 90.00
_cell_angle_beta 90.00
_cell_angle_gamma 90.00
loop_
_atom_site_label
_atom_site_fract_x
_atom_site_fract_y
_atom_site_fract_z
_atom_site_occupancy
Mn1 0.0000 0.0000 0.0000 1
Ru1 0.5000 0.5000 0.5000 1
O1 0.0000 0.0000 0.5000 1
O2 0.0000 0.5000 0.0000 1
O3 0.5000 0.0000 0.0000 1

=====

Q: E of number 1 (Rb3MnO3)?
A: -5.49 eV/atom